# KCdAu4

A PBEsol-optimized structure of KCdAu4 (SCAN, the Alexandria database).

```
KCdAu4
1.0
5.550 0.000 0.000
2.775 4.806 0.000
2.775 1.602 4.531
Au Cd K
4 1 1
Cartesian
4.166 2.405 1.701
5.550 4.802 1.701
5.550 3.204 3.960
6.933 2.405 1.701
8.324 4.806 3.398
0.000 0.000 0.000
```

Values from the calculation:
N(E_F) ... 1.235 states/eV/cell
ΔE_f ... -257 meV/atom
V ... 20.14 Å³/atom